Entry 1:
Li2LaIn | PBEsol | optimized geometry

a = 7.3007 Å, b = 7.3007 Å, c = 7.3007 Å
α = 90.00°, β = 90.00°, γ = 90.00°
Space group F-43m (No. 216)
Unique sites:
Li (0.0000, 0.0000, 0.0000)
Li (0.2500, 0.2500, 0.2500)
La (0.2500, 0.2500, 0.7500)
In (0.0000, 0.0000, 0.5000)

Values from the calculation:
**Crystal system**: cubic
**Energy of formation from the pure elements**: -249 meV per atom

***

Entry 2:
ScBeO2F | PBEsol | optimized geometry

a = 3.5438 Å, b = 3.5438 Å, c = 3.2381 Å
α = 90.00°, β = 90.00°, γ = 90.00°
Space group P4/mmm (No. 123)
Unique sites:
Sc (0.0000, 0.0000, 0.0000)
Be (0.5000, 0.5000, 0.5000)
O (0.0000, 0.5000, 0.5000)
F (0.5000, 0.5000, 0.0000)

Values from the calculation:
**Formation energy from raw total energies**: -2.80 eV per atom
**Crystal system**: tetragonal

***

Entry 3:
MgCd2BN | PBEsol | optimized geometry

a = 4.4958 Å, b = 4.4958 Å, c = 3.9706 Å
α = 90.00°, β = 90.00°, γ = 90.00°
Space group P4/mmm (No. 123)
Unique sites:
Mg (0.0000, 0.0000, 0.0000)
Cd (0.0000, 0.5000, 0.5000)
B (0.5000, 0.5000, 0.0000)
N (0.0000, 0.0000, 0.5000)

Values from the calculation:
**Formation energy from raw total energies**: 0.74 eV per atom
**Crystal system**: tetragonal